No. 1
A plane-wave DFT calculation with PBE was carried out for an optimized crystal structure of Sm2YTh3Se6.

Cell lengths 7.059, 7.059, 7.465 Å; angles 99.00, 99.00, 119.32 degrees
Element x y z (fractional)
1 Sm 0.334 0.666 0.000
2 Sm 0.666 0.334 0.000
3 Y 0.000 0.000 0.000
4 Th 0.170 0.830 0.500
5 Th 0.830 0.170 0.500
6 Th 0.500 0.500 0.500
7 Se 0.921 0.593 0.762
8 Se 0.753 0.753 0.243
9 Se 0.079 0.407 0.238
10 Se 0.593 0.921 0.762
11 Se 0.247 0.247 0.757
12 Se 0.407 0.079 0.238

E_form (uncorrected) in eV/atom: -1.656
Symmetry: C2/m
Fermi-level density of states in states/eV/f.u.: 8.0
Magnetization in μB/atom: 0.000
Mass density in g/cm3: 8.40
Calculated volume in Å³/cell: 308.37



No. 2
A plane-wave DFT calculation with PBE was carried out for an optimized crystal structure of Ho4Cu3Hg.

Cell lengths 3.519, 5.012, 9.934 Å; angles 90.00, 90.00, 90.00 degrees
Element x y z (fractional)
1 Ho 0.000 0.000 0.500
2 Ho 0.000 0.500 0.736
3 Ho 0.000 0.000 0.000
4 Ho 0.000 0.500 0.264
5 Cu 0.500 0.000 0.252
6 Cu 0.500 0.500 0.500
7 Cu 0.500 0.000 0.748
8 Hg 0.500 0.500 0.000

Formation energy in eV per atom: -0.296
Symmetry: Pmmm
Fermi-level density of states in states/eV/f.u.: 5.4
Magnetization in μB/atom: 0.000
Mass density in g/cm3: 9.96
Calculated volume in Å³/cell: 175.21



No. 3
A plane-wave DFT calculation with PBE was carried out for an optimized crystal structure of Cd2CoNi.

Cell lengths 4.667, 4.667, 2.890 Å; angles 90.01, 90.01, 101.69 degrees
Element x y z (fractional)
1 Cd 0.000 0.000 0.000
2 Cd 0.500 0.500 0.000
3 Co 0.500 0.000 0.500
4 Ni 0.000 0.500 0.500

Formation energy in eV per atom: 0.238
Symmetry: Cmmm
Fermi-level density of states in states/eV/f.u.: 3.8
Magnetization in μB/atom: 0.256
Mass density in g/cm3: 9.22
Calculated volume in Å³/cell: 61.64



No. 4
A plane-wave DFT calculation with PBE was carried out for an optimized crystal structure of LaVCr2Pt.

Cell lengths 4.488, 4.931, 4.488 Å; angles 90.00, 90.00, 90.00 degrees
Element x y z (fractional)
1 Cr 0.000 0.000 0.500
2 Cr 0.500 0.000 0.000
3 V 0.000 0.000 0.000
4 Pt 0.000 0.500 0.000
5 La 0.500 0.500 0.500

Formation energy in eV per atom: 0.283
Symmetry: P4/mmm
Fermi-level density of states in states/eV/f.u.: 3.5
Magnetization in μB/atom: 0.851
Mass density in g/cm3: 8.17
Calculated volume in Å³/cell: 99.32



No. 5
A plane-wave DFT calculation with PBE was carried out for an optimized crystal structure of Sb2IrRhI.

Cell lengths 5.041, 5.041, 5.576 Å; angles 90.00, 90.00, 90.00 degrees
Element x y z (fractional)
1 I 0.000 0.000 0.500
2 Sb 0.000 0.500 0.000
3 Sb 0.500 0.000 0.000
4 Ir 0.000 0.000 0.000
5 Rh 0.500 0.500 0.500

E_form (uncorrected) in eV/atom: 0.936
Symmetry: P4/mmm
Fermi-level density of states in states/eV/f.u.: 4.5
Magnetization in μB/atom: 0.180
Mass density in g/cm3: 7.80
Calculated volume in Å³/cell: 141.69



No. 6
A plane-wave DFT calculation with PBE was carried out for an optimized crystal structure of KBeSi2.

Cell lengths 4.066, 4.066, 6.804 Å; angles 75.68, 75.68, 54.45 degrees
Element x y z (fractional)
1 Be 0.472 0.472 0.695
2 K 0.221 0.221 0.263
3 Si 0.016 0.016 0.872
4 Si 0.791 0.791 0.670

E_form (uncorrected) in eV/atom: 0.248
Symmetry: Cm
Fermi-level density of states in states/eV/f.u.: 1.9
Magnetization in μB/atom: 0.000
Mass density in g/cm3: 1.97
Calculated volume in Å³/cell: 87.89



No. 7
A plane-wave DFT calculation with PBE was carried out for an optimized crystal structure of Zr2InSb.

Cell lengths 10.321, 10.321, 10.321 Å; angles 18.68, 18.68, 18.68 degrees
Element x y z (fractional)
1 In 0.503 0.503 0.503
2 Sb 0.745 0.745 0.745
3 Zr 0.000 0.000 0.000
4 Zr 0.252 0.252 0.252

E_form (uncorrected) in eV/atom: -0.102
Symmetry: R3m
Fermi-level density of states in states/eV/f.u.: 2.5
Magnetization in μB/atom: 0.000
Mass density in g/cm3: 7.06
Calculated volume in Å³/cell: 98.55



No. 8
A plane-wave DFT calculation with PBE was carried out for an optimized crystal structure of CdHSe3.

Cell lengths 4.483, 4.483, 4.483 Å; angles 90.00, 90.00, 90.00 degrees
Element x y z (fractional)
1 H 0.000 0.000 0.000
2 Se 0.000 0.500 0.000
3 Se 0.000 0.000 0.500
4 Se 0.500 0.000 0.000
5 Cd 0.500 0.500 0.500

Symmetry: Pm-3m
Fermi-level density of states in states/eV/f.u.: 3.6
Magnetization in μB/atom: 0.000
Mass density in g/cm3: 6.46
E_tot in eV/atom: -2.34
Calculated volume in Å³/cell: 90.07